#P
Below is an optimized crystal structure of Pr4Er4Tm3, with properties calculated at the PBE-GGA level.

total moment = 0.0 μB/cell

Cell lengths 37.583, 5.437, 3.520 Å; angles 90.00, 95.28, 90.00 degrees
Space group C2/m (No. 12)
Asymmetric unit:
Pr (0.096, 0.000, 0.099) (multiplicity 4)
Pr (0.221, 0.500, 0.222) (multiplicity 4)
Er (0.045, 0.500, 0.546) (multiplicity 4)
Er (0.183, 0.000, 0.685) (multiplicity 4)
Tm (0.000, 0.000, 0.000) (multiplicity 2)
Tm (0.135, 0.500, 0.639) (multiplicity 4)

#Q
Below is an optimized crystal structure of Pr4Er4Tm3, with properties calculated at the PBE-GGA level.

total moment = 0.0 μB/cell

Cell lengths 3.518, 5.665, 18.095 Å; angles 80.99, 84.42, 90.00 degrees
Space group P-1 (No. 2)
Asymmetric unit:
Pr (0.090, 0.090, 0.319) (multiplicity 2)
Pr (0.231, 0.731, 0.038) (multiplicity 2)
Er (0.045, 0.545, 0.410) (multiplicity 2)
Er (0.180, 0.180, 0.139) (multiplicity 2)
Tm (0.365, 0.365, 0.770) (multiplicity 2)
Tm (0.500, 0.000, 0.500) (multiplicity 1)

It is #Q that is the least stable of them.